## Sc4CuBi (PBE-GGA)

Data for a geometry-optimized Sc4CuBi structure.

Cell and atoms, written as POSCAR:
```
Sc4CuBi
1.0
7.397 -2.848 0.000
7.397 2.848 0.000
-1.794 0.000 6.800
Sc Cu Bi
8 2 2
Direct
0.033 0.808 0.560
0.192 0.967 0.940
0.211 0.442 0.863
0.442 0.211 0.363
0.558 0.789 0.637
0.789 0.558 0.137
0.808 0.033 0.060
0.967 0.192 0.440
0.000 0.500 0.500
0.500 0.000 0.000
0.373 0.627 0.250
0.627 0.373 0.750
```

Summary:
Calculated total energy (eV for the cell shown): -68.2
E_form (meV per atom): -131
DOS(E_F) (states/eV per atom): 1.342

***

## Ho3OsC3 (PBE-GGA)

Data for a geometry-optimized Ho3OsC3 structure.

Cell and atoms, written as POSCAR:
```
Ho3OsC3
1.0
4.321 -5.188 0.000
4.321 5.188 0.000
0.000 0.000 5.075
Ho Os C
6 2 6
Direct
0.108 0.892 0.750
0.166 0.405 0.750
0.405 0.166 0.250
0.595 0.834 0.750
0.834 0.595 0.250
0.892 0.108 0.250
0.307 0.693 0.250
0.693 0.307 0.750
0.121 0.879 0.250
0.166 0.417 0.250
0.417 0.166 0.750
0.583 0.834 0.250
0.834 0.583 0.750
0.879 0.121 0.750
```

Summary:
Calculated total energy (eV for the cell shown): -110.5
E_form (meV per atom): -376
DOS(E_F) (states/eV per atom): 0.570

***

## Sm2PtPb (PBE-GGA)

Data for a geometry-optimized Sm2PtPb structure.

Cell and atoms, written as POSCAR:
```
Sm2PtPb
1.0
4.360 0.000 0.000
-2.180 3.776 0.000
0.000 0.000 7.137
Sm Pt Pb
2 1 1
Direct
0.333 0.667 0.208
0.667 0.333 0.792
0.000 0.000 0.000
0.000 0.000 0.500
```

Summary:
Calculated total energy (eV for the cell shown): -22.0
E_form (meV per atom): -712
DOS(E_F) (states/eV per atom): 0.906